## Rb2MgSe (PBE)

Data for a relaxed structure of Rb2MgSe.

Cell lengths 8.5166, 8.5166, 8.5166 Å; angles 90.00, 90.00, 90.00 degrees
Closest atoms and distances in Å follow each position.
Space group Fm-3m (No. 225)
Unique sites:
Rb 0.2500 0.2500 0.2500 [8 per cell]  4 Se 3.69, 4 Mg 3.69
Mg 0.0000 0.0000 0.0000 [4 per cell]  8 Rb 3.69
Se 0.0000 0.0000 0.5000 [4 per cell]  8 Rb 3.69

Values from the calculation:
crystal system: cubic
energy above the lowest structure with this stoichiometry: 13 meV/atom
E_form (uncorrected): -0.415 eV/atom
total magnetization: 0.00 μB/cell